Compound: PuTl2BiO6
Source: Alexandria via LeMat-Bulk
Functional: GGA-PBE
Structure: relaxed

abc: 6.213 6.213 8.787
angles: 90.00 90.00 90.00
Site moments in Bohr magnetons follow the coordinates.
Sites, in units of the cell vectors:
Pu1 0.500 0.250 0.500  1.45
Pu2 0.000 0.750 0.000  1.45
Tl1 0.500 0.750 0.250  0.00
Tl2 0.000 0.250 0.750  0.00
Tl3 0.500 0.750 0.750  0.00
Tl4 0.000 0.250 0.250  0.00
Bi1 0.000 0.750 0.500  -0.02
Bi2 0.500 0.250 0.000  -0.02
O1 0.500 0.249 0.269  -0.06
O2 0.500 0.249 0.731  -0.06
O3 0.000 0.751 0.231  -0.06
O4 0.000 0.751 0.769  -0.06
O5 0.269 0.018 0.500  -0.06
O6 0.731 0.018 0.500  -0.06
O7 0.269 0.481 0.500  -0.06
O8 0.731 0.481 0.500  -0.06
O9 0.769 0.519 0.000  -0.06
O10 0.231 0.519 0.000  -0.06
O11 0.231 0.982 0.000  -0.06
O12 0.769 0.982 0.000  -0.06

Summary:
**Total magnetic moment**: 1.04 μB per formula unit
**Uncorrected energy**: -136.68 eV/cell
**Formation energy (no corrections)**: -36.1 kcal/mol of atoms
**Theoretical density**: 9.38 g/cm³